A plane-wave DFT calculation with PBE was carried out for AcPmSm6Y2 after structural relaxation.

Calculated values
E_form in eV per atom: 0.124

a = 9.012 Å, b = 9.012 Å, c = 9.677 Å
α = 92.60°, β = 92.60°, γ = 116.24°
Fractional coordinates of all 20 atoms:
Ac  0.038  0.962  0.750
Ac  0.962  0.038  0.250
Pm  0.410  0.590  0.250
Pm  0.590  0.410  0.750
Sm  0.008  0.549  0.679
Sm  0.113  0.755  0.058
Sm  0.245  0.887  0.442
Sm  0.292  0.522  0.884
Sm  0.451  0.992  0.821
Sm  0.478  0.708  0.616
Sm  0.522  0.292  0.384
Sm  0.549  0.008  0.179
Sm  0.708  0.478  0.116
Sm  0.755  0.113  0.558
Sm  0.887  0.245  0.942
Sm  0.992  0.451  0.321
Y  0.204  0.307  0.552
Y  0.307  0.204  0.052
Y  0.693  0.796  0.948
Y  0.796  0.693  0.448

***

A plane-wave DFT calculation with PBE was carried out for In2CuSe after structural relaxation.

Calculated values
Total DFT energy (no corrections) in eV/atom: -3.355

a = 3.780 Å, b = 3.780 Å, c = 7.586 Å
α = 104.24°, β = 104.24°, γ = 60.12°
Fractional coordinates of all 4 atoms:
In  0.245  0.245  0.236
In  0.755  0.755  0.764
Cu  0.500  0.500  0.000
Se  0.000  0.000  0.500

***

A plane-wave DFT calculation with PBE was carried out for NdFePt4 after structural relaxation.

Calculated values
E_form in eV per atom: -0.537

a = 7.707 Å, b = 4.021 Å, c = 6.945 Å
α = 90.00°, β = 90.00°, γ = 90.00°
Fractional coordinates of all 12 atoms:
Nd  0.250  0.000  0.142
Nd  0.750  0.000  0.858
Fe  0.250  0.000  0.727
Fe  0.750  0.000  0.273
Pt  0.000  0.000  0.500
Pt  0.053  0.500  0.812
Pt  0.250  0.500  0.472
Pt  0.447  0.500  0.812
Pt  0.500  0.000  0.500
Pt  0.553  0.500  0.188
Pt  0.750  0.500  0.528
Pt  0.947  0.500  0.188

***

A plane-wave DFT calculation with PBE was carried out for NaCd8Hg2 after structural relaxation.

Calculated values
Offset from the most stable computed form in eV per atom: 0.000
E_form in eV per atom: 0.004

a = 8.954 Å, b = 8.954 Å, c = 5.358 Å
α = 93.37°, β = 93.37°, γ = 39.03°
Fractional coordinates of all 11 atoms:
Na  0.000  0.000  0.000
Cd  0.157  0.662  0.473
Cd  0.189  0.189  0.112
Cd  0.338  0.843  0.527
Cd  0.407  0.407  0.989
Cd  0.593  0.593  0.011
Cd  0.662  0.157  0.473
Cd  0.811  0.811  0.888
Cd  0.843  0.338  0.527
Hg  0.258  0.258  0.638
Hg  0.742  0.742  0.362